An optimized crystal structure of NaGdCl2. Source: the Alexandria database, functional PBE.

ΔE_f (raw) = -1.42 eV per atom
Crystal system = trigonal

Lattice parameters (Å, degrees): 10.037 10.037 10.037 21.39 21.39 21.39
Fractional coordinates of all 4 atoms:
Na  0.000  0.000  0.000
Gd  0.500  0.500  0.500
Cl  0.105  0.105  0.105
Cl  0.895  0.895  0.895

---

An optimized crystal structure of CuPt3F. Source: the Alexandria database, functional PBE.

ΔE_f (raw) = 0.88 eV per atom
Crystal system = cubic
Offset from the most stable computed form = 0.000 eV/atom

Lattice parameters (Å, degrees): 4.337 4.337 4.337 90.00 90.00 90.00
Fractional coordinates of all 5 atoms:
Cu  0.000  0.000  0.000
Pt  0.000  0.500  0.500
Pt  0.500  0.000  0.500
Pt  0.500  0.500  0.000
F  0.500  0.500  0.500

---

An optimized crystal structure of ErReN. Source: the Alexandria database, functional PBE.

ΔE_f (raw) = -0.41 eV per atom
Crystal system = monoclinic
Offset from the most stable computed form = 0.000 eV/atom

Lattice parameters (Å, degrees): 6.181 6.181 3.982 90.57 90.57 51.64
Fractional coordinates of all 6 atoms:
Er  0.173  0.173  0.244
Er  0.827  0.827  0.756
Re  0.436  0.436  0.748
Re  0.564  0.564  0.252
N  0.269  0.269  0.747
N  0.731  0.731  0.253

---

An optimized crystal structure of TlTe2Ir. Source: the Alexandria database, functional PBE.

ΔE_f (raw) = 0.01 eV per atom
Crystal system = monoclinic
Offset from the most stable computed form = 0.238 eV/atom

Lattice parameters (Å, degrees): 5.049 4.062 6.108 90.00 114.39 90.00
Fractional coordinates of all 4 atoms:
Tl  0.000  0.000  0.000
Te  0.336  0.000  0.673
Te  0.621  0.500  0.243
Ir  0.189  0.500  0.380

---

An optimized crystal structure of CdRe2Pt. Source: the Alexandria database, functional PBE.

Energy relative to the elements = 11.1 kcal/mol of atoms
Crystal system = monoclinic

Lattice parameters (Å, degrees): 5.167 5.167 2.717 90.10 90.10 117.14
Fractional coordinates of all 4 atoms:
Cd  0.000  0.000  0.000
Re  0.000  0.500  0.500
Re  0.500  0.000  0.500
Pt  0.500  0.500  0.000

---

An optimized crystal structure of Li2CrCl. Source: the Alexandria database, functional PBE.

ΔE_f (raw) = -0.34 eV per atom
Crystal system = trigonal
Offset from the most stable computed form = 0.000 eV/atom

Lattice parameters (Å, degrees): 8.239 8.239 8.239 22.84 22.84 22.84
Fractional coordinates of all 4 atoms:
Li  0.231  0.231  0.231
Li  0.769  0.769  0.769
Cr  0.000  0.000  0.000
Cl  0.500  0.500  0.500

---

An optimized crystal structure of Ho2Er3Cu4. Source: the Alexandria database, functional PBE.

Energy relative to the elements = -4.6 kcal/mol of atoms
Crystal system = monoclinic

Lattice parameters (Å, degrees): 8.415 7.196 6.988 90.00 108.95 90.00
Fractional coordinates of all 18 atoms:
Ho  0.189  0.181  0.061
Ho  0.189  0.319  0.561
Ho  0.811  0.681  0.439
Ho  0.811  0.819  0.939
Er  0.234  0.674  0.229
Er  0.234  0.826  0.729
Er  0.500  0.000  0.500
Er  0.500  0.500  0.000
Er  0.766  0.174  0.271
Er  0.766  0.326  0.771
Cu  0.065  0.530  0.847
Cu  0.065  0.970  0.347
Cu  0.489  0.126  0.879
Cu  0.489  0.374  0.379
Cu  0.511  0.626  0.621
Cu  0.511  0.874  0.121
Cu  0.935  0.030  0.653
Cu  0.935  0.470  0.153

---

An optimized crystal structure of In2SeS. Source: the Alexandria database, functional PBE.

ΔE_f (raw) = -0.15 eV per atom
Crystal system = cubic
Offset from the most stable computed form = 0.275 eV/atom

Lattice parameters (Å, degrees): 5.026 5.026 5.026 60.00 60.00 60.00
Fractional coordinates of all 4 atoms:
In  0.250  0.250  0.250
In  0.750  0.750  0.750
Se  0.000  0.000  0.000
S  0.500  0.500  0.500